Entry 1
IrPbIO2 | Alexandria | PBE | optimized geometry; space group = No. 123
1.0
4.1017 0.0000 0.0000
0.0000 4.1017 0.0000
0.0000 0.0000 7.1333
Pb I Ir O
1 1 1 2
direct
0.0000 0.0000 0.0000 Pb
0.0000 0.0000 0.5000 I
0.5000 0.5000 0.5000 Ir
0.0000 0.5000 0.0000 O
0.5000 0.0000 0.0000 O



Entry 2
IrPbIO2 | Alexandria | PBE | optimized geometry; space group = No. 123
1.0
-0.0606 4.1973 0.5922
-3.4092 0.3037 -2.5013
-3.1963 -0.6496 4.2775
Pb I Ir O
1 1 1 2
direct
0.5000 0.5000 0.5000 Pb
0.0000 0.0000 0.5000 I
0.0000 0.0000 0.0000 Ir
0.0000 0.5000 0.0000 O
0.5000 0.0000 0.0000 O



The most stable arrangement is entry 2, and the next structure is 46.3 kJ/mol of atoms less stable.



Entry 1
IrPdI2O | Alexandria | PBE | optimized geometry; space group = No. 123
1.0
5.5703 0.0000 0.0000
0.0000 5.5703 0.0000
0.0000 0.0000 3.7123
I Ir O Pd
2 1 1 1
direct
0.0000 0.5000 0.0000 I
0.5000 0.0000 0.0000 I
0.0000 0.0000 0.0000 Ir
0.0000 0.0000 0.5000 O
0.5000 0.5000 0.5000 Pd



Entry 2
IrPdI2O | Alexandria | PBE | optimized geometry; space group = No. 123
1.0
-0.9277 -5.2979 0.8383
1.7927 -1.1081 -5.0189
3.4702 -0.3976 1.3273
I Ir O Pd
2 1 1 1
direct
0.0000 0.5000 0.0000 I
0.5000 0.0000 0.0000 I
0.5000 0.5000 0.5000 Ir
0.0000 0.0000 0.5000 O
0.0000 0.0000 0.0000 Pd



The most stable arrangement is entry 1, and the next structure is 63.6 kJ/mol of atoms less stable.